A plane-wave DFT calculation with GGA-PBE was carried out for a relaxed HgIrSe2 crystal.

The structure in POSCAR format:
```
HgIrSe2
1.0
-2.598 1.367 0.762
-0.003 -1.480 2.647
4.765 6.903 3.865
Hg Se Ir
1 2 1
Direct
0.000 0.000 0.535
0.000 0.000 0.927
0.500 0.500 0.253
0.500 0.500 0.786
```

**E_form (uncorrected)**: 0.303 eV/atom
**Energy**: -3.7300 eV/atom
**Fermi-level density of states**: 2.33 states/eV/cell
**Crystal system**: tetragonal
**SG**: P4mm
**Calculated volume**: 85.0 Å³ per cell